No. 1
First-principles (PBE) data for a relaxed structure of Pa3Al7Pt2, as listed in Alexandria.

Unit cell a=9.221 b=9.221 c=9.221 alpha=34.50 beta=34.50 gamma=34.50
Fractional positions:
Pa  0.000  0.000  0.000
Pa  0.145  0.145  0.145
Pa  0.855  0.855  0.855
Al  0.073  0.584  0.584
Al  0.416  0.416  0.927
Al  0.416  0.927  0.416
Al  0.500  0.500  0.500
Al  0.584  0.073  0.584
Al  0.584  0.584  0.073
Al  0.927  0.416  0.416
Pt  0.336  0.336  0.336
Pt  0.664  0.664  0.664

Symmetry: R-3m
Volume: 224 Å³/cell
DFT formation energy: -0.599 eV/atom



No. 2
First-principles (PBE) data for a relaxed structure of PaAl3Pt3, as listed in Alexandria.

Unit cell a=6.752 b=6.752 c=6.752 alpha=90.00 beta=90.00 gamma=90.00
Fractional positions:
Pa  0.000  0.000  0.000
Pa  0.500  0.500  0.500
Al  0.000  0.250  0.500
Al  0.000  0.750  0.500
Al  0.250  0.500  0.000
Al  0.500  0.000  0.250
Al  0.500  0.000  0.750
Al  0.750  0.500  0.000
Pt  0.000  0.500  0.250
Pt  0.000  0.500  0.750
Pt  0.250  0.000  0.500
Pt  0.500  0.250  0.000
Pt  0.500  0.750  0.000
Pt  0.750  0.000  0.500

Symmetry: Pm-3n
Volume: 308 Å³/cell
DFT formation energy: -0.338 eV/atom



Number 1: mass density 9.4 g/cm3. Number 2: mass density 9.7 g/cm3.